Be2CoF | GGA+U | relaxed

Computed properties:
energy = -3.82 eV per atom
energy above the lowest structure with this stoichiometry = 0 meV/atom
space group = I-42d, No. 122

a b c (Å): 5.512 5.512 4.697
angles (deg): 54.07 54.07 90.00
Site moments in Bohr magnetons follow the coordinates.
Fractional coordinates of all 8 atoms:
Be 0.375 0.431 0.750  -0.03
F 0.250 0.750 0.500  0.01
Be 0.875 0.819 0.750  -0.04
F 0.500 0.500 0.000  0.01
Co 0.000 0.000 0.000  1.79
Be 0.569 0.125 0.250  -0.04
Co 0.750 0.250 0.500  1.80
Be 0.181 0.625 0.250  -0.04